# Li15Mn2O12 GGA-PBEsol relaxed
# Formation energy from raw total energies = -1844 meV/atom
# V = 240.62 Å³ per cell
# E = -165.48 eV for the cell shown
data_Li15Mn2O12
_chemical_formula_sum 'Li15 Mn2 O12'
_cell_length_a 5.236
_cell_length_b 5.825
_cell_length_c 7.911
_cell_angle_alpha 85.80
_cell_angle_beta 89.81
_cell_angle_gamma 89.04
_symmetry_space_group_name_H-M 'P 1'
_symmetry_Int_Tables_number 1
loop_
_symmetry_equiv_pos_as_xyz
'x,y,z'
loop_
_atom_site_label
_atom_site_type_symbol
_atom_site_fract_x
_atom_site_fract_y
_atom_site_fract_z
Li1 Li 0.000 0.000 0.000
Li2 Li 0.003 0.297 0.724
Li3 Li 0.134 0.882 0.747
Li4 Li 0.136 0.160 0.450
Li5 Li 0.216 0.670 0.156
Li6 Li 0.302 0.144 0.179
Li7 Li 0.325 0.546 0.849
Li8 Li 0.364 0.811 0.498
Li9 Li 0.470 0.413 0.567
Li10 Li 0.623 0.380 0.275
Li11 Li 0.653 0.767 0.015
Li12 Li 0.690 0.044 0.587
Li13 Li 0.780 0.921 0.276
Li14 Li 0.786 0.664 0.707
Li15 Li 0.862 0.376 0.022
Mn1 Mn 0.490 0.124 0.878
Mn2 Mn 0.985 0.588 0.411
O1 O 0.139 0.890 0.325
O2 O 0.142 0.604 0.629
O3 O 0.193 0.273 0.955
O4 O 0.275 0.427 0.335
O5 O 0.320 0.836 0.950
O6 O 0.346 0.109 0.654
O7 O 0.646 0.404 0.818
O8 O 0.649 0.119 0.100
O9 O 0.704 0.753 0.483
O10 O 0.789 0.953 0.812
O11 O 0.825 0.314 0.477
O12 O 0.846 0.607 0.184